DFT (GGA-PBE) results for a relaxed Hf2AlH2 crystal.

```
10
Lattice="6.639 0.000 0.000 0.000 6.639 0.000 0.000 0.000 2.917" Properties=species:S:1:pos:R:3 pbc="T T T"
Hf 1.073 2.247 0.000
Hf 2.247 5.566 0.000
Hf 4.392 1.073 0.000
Hf 5.566 4.392 0.000
Al 0.000 0.000 1.459
Al 3.320 3.320 1.459
H 0.722 4.041 1.459
H 2.598 0.722 1.459
H 4.041 5.918 1.459
H 5.918 2.598 1.459
```

DFT (GGA-PBE) results for a relaxed LiNdRu crystal.

Calculated values
The energy of formation is 0.098 eV per atom.

```
3
Lattice="4.426 0.000 0.000 -2.213 3.833 0.000 0.000 0.000 3.479" Properties=species:S:1:pos:R:3 pbc="T T T"
Li 0.000 0.000 0.000
Nd 0.000 2.556 1.737
Ru 2.213 1.278 3.473
```

DFT (GGA-PBE) results for a relaxed KAsPtPb crystal.

Calculated values
The energy of formation is -0.414 eV per atom.

```
4
Lattice="2.162 1.248 7.031 -2.162 1.248 7.031 0.000 -2.497 7.031" Properties=species:S:1:pos:R:3 pbc="T T T"
K 0.000 0.000 0.000
As 0.000 0.000 11.830
Pt 0.000 0.000 4.343
Pb 0.000 0.000 16.905
```

DFT (GGA-PBE) results for a relaxed AcNdDy2Se4 crystal.

Calculated values
The uncorrected formation energy is -1791 meV/atom.

```
8
Lattice="7.173 0.000 0.000 0.000 4.122 0.000 -2.379 0.000 7.162" Properties=species:S:1:pos:R:3 pbc="T T T"
Ac 0.000 0.000 0.000
Nd 3.586 2.061 0.000
Dy -1.190 2.061 3.581
Dy 2.397 0.000 3.581
Se 0.045 0.000 5.225
Se 1.239 2.061 1.971
Se 3.555 2.061 5.192
Se 4.749 0.000 1.937
```

DFT (GGA-PBE) results for a relaxed CaRe5 crystal.

Calculated values
The energy of formation is 0.501 eV per atom.

```
6
Lattice="2.192 -4.989 0.000 2.192 4.989 0.000 0.000 0.000 4.445" Properties=species:S:1:pos:R:3 pbc="T T T"
Ca 0.000 0.000 0.000
Re 2.192 3.316 2.223
Re 2.192 1.830 0.000
Re 2.192 0.000 2.223
Re 2.192 -1.830 0.000
Re 2.192 -3.316 2.223
```

DFT (GGA-PBE) results for a relaxed Cr2InAu crystal.

Calculated values
The energy of formation is 0.151 eV per atom.

```
4
Lattice="-2.038 2.038 4.103 2.038 -2.038 4.103 2.038 2.038 -4.103" Properties=species:S:1:pos:R:3 pbc="T T T"
Cr 0.000 0.000 0.000
Cr 0.000 2.038 2.052
In 2.038 0.000 2.052
Au 0.000 0.000 4.103
```

DFT (GGA-PBE) results for a relaxed PS2F5 crystal.

Calculated values
The uncorrected formation energy is -1779 meV/atom.

```
8
Lattice="3.967 0.000 0.000 1.039 6.340 0.000 1.643 -0.008 6.607" Properties=species:S:1:pos:R:3 pbc="T T T"
P 0.000 0.000 0.000
S 1.830 2.867 2.853
S 4.160 3.438 3.741
F 1.355 0.024 5.046
F 4.236 6.329 6.606
F 4.721 6.308 1.562
F 3.693 1.565 0.032
F 6.369 4.767 6.575
```

DFT (GGA-PBE) results for a relaxed ErTmGaSi crystal.

Calculated values
The uncorrected formation energy is -743 meV/atom.

```
4
Lattice="3.917 0.000 0.000 0.000 2.127 5.285 0.000 -2.127 5.285" Properties=species:S:1:pos:R:3 pbc="T T T"
Er 0.000 0.000 0.000
Tm 1.958 0.000 2.972
Ga 0.000 0.000 7.585
Si 1.958 0.000 5.952
```

DFT (GGA-PBE) results for a relaxed Cs2LiGeTe4 crystal.

Calculated values
The uncorrected formation energy is -625 meV/atom.

```
16
Lattice="0.000 7.919 12.819 3.332 0.000 12.819 3.332 7.919 0.000" Properties=species:S:1:pos:R:3 pbc="T T T"
Cs 2.499 5.939 1.493
Cs 4.166 9.898 7.902
Cs 2.499 5.939 17.736
Cs 4.166 9.898 24.146
Li 0.833 1.980 3.205
Li 5.832 13.858 22.434
Ge 2.499 5.939 9.614
Ge 4.166 9.898 16.024
Te 2.673 3.519 4.704
Te 3.991 7.479 11.114
Te 2.325 8.359 4.704
Te 2.325 3.519 14.524
Te 4.340 12.318 11.114
Te 4.340 7.479 20.934
Te 2.673 8.359 14.524
Te 3.991 12.318 20.934
```

DFT (GGA-PBE) results for a relaxed Y2Tl3InS6 crystal.

Calculated values
The uncorrected formation energy is -1142 meV/atom.

```
12
Lattice="3.465 -5.994 0.000 3.465 5.994 0.000 -2.318 0.000 7.530" Properties=species:S:1:pos:R:3 pbc="T T T"
Y 3.465 3.999 0.000
Y 3.465 -3.999 0.000
Tl -1.159 0.000 3.765
Tl 2.306 2.028 3.765
Tl 2.306 -2.028 3.765
In 3.465 0.000 0.000
S 0.022 1.947 6.057
S 1.201 0.000 1.506
S 0.022 -1.947 6.057
S 4.590 1.947 1.474
S 3.411 0.000 6.025
S 4.590 -1.947 1.474
```

DFT (GGA-PBE) results for a relaxed Sr2ZnNiN crystal.

Calculated values
The uncorrected formation energy is -354 meV/atom.

```
5
Lattice="5.451 0.000 0.000 0.000 5.451 0.000 0.000 0.000 3.616" Properties=species:S:1:pos:R:3 pbc="T T T"
Sr 0.000 2.726 0.000
Sr 2.726 0.000 0.000
Zn 0.000 0.000 1.808
Ni 2.726 2.726 1.808
N 2.726 2.726 0.000
```

DFT (GGA-PBE) results for a relaxed EuHoMgAg crystal.

Calculated values
The energy of formation is -0.122 eV per atom.

```
4
Lattice="0.000 3.788 3.788 3.788 0.000 3.788 3.788 3.788 0.000" Properties=species:S:1:pos:R:3 pbc="T T T"
Eu 0.000 0.000 0.000
Ho 3.788 3.788 3.788
Mg 5.683 5.683 5.683
Ag 1.894 1.894 1.894
```

The following spin magnetization values (in Bohr magnetons per cell) correspond, in order, to the records above: 0.0 0.0 0.0 0.0 0.0 0.1 0.0 0.0 0.0 0.0 0.0 7.2.
The following uncorrected energy values (in eV per atom) correspond, in order, to the records above: -6.05 -5.22 -4.29 -5.79 -10.21 -6.17 -4.66 -5.11 -3.23 -5.10 -4.10 -4.95.